No. 1
Material: NiAsO4
Method: DFT, PBE+U
State: relaxed

Unit cell a=3.8078 b=3.8078 c=8.9371 alpha=90.00 beta=90.00 gamma=90.00
Last column: nearest neighbours and their distance in Å.
Fractional positions:
Ni  0.0000  0.0000  0.0000  6 O 1.94-1.96
Ni  0.5000  0.5000  0.5000  6 O 1.94-1.96
As  0.0000  0.5000  0.2500  6 O 1.79-1.93
As  0.5000  0.0000  0.7500  6 O 1.79-1.93
O  0.0000  0.0000  0.2167  2 As 1.93, 1 Ni 1.94
O  0.0000  0.0000  0.7833  2 As 1.93, 1 Ni 1.94
O  0.0000  0.5000  0.0497  1 As 1.79, 2 Ni 1.96
O  0.0000  0.5000  0.4503  1 As 1.79, 2 Ni 1.96
O  0.5000  0.0000  0.5497  1 As 1.79, 2 Ni 1.96
O  0.5000  0.0000  0.9503  1 As 1.79, 2 Ni 1.96
O  0.5000  0.5000  0.2833  2 As 1.93, 1 Ni 1.94
O  0.5000  0.5000  0.7167  2 As 1.93, 1 Ni 1.94

Output
Raw total energy = -64.422 eV/cell
Space group = I-4m2, No. 119
Total magnetic moment = 1.00 μB/f.u.

No. 2
Material: NiAs2O6
Method: DFT, PBE+U
State: relaxed

Unit cell a=4.8451 b=4.8451 c=4.5192 alpha=90.00 beta=90.00 gamma=120.00
Last column: nearest neighbours and their distance in Å.
Fractional positions:
Ni  0.0000  0.0000  0.0000  6 O 2.14
As  0.3333  0.6667  0.5000  6 O 1.86
As  0.6667  0.3333  0.5000  6 O 1.86
O  0.0000  0.3620  0.2727  2 As 1.86
O  0.0000  0.6380  0.7273  2 As 1.86
O  0.3620  0.0000  0.2727  2 As 1.86
O  0.3620  0.3620  0.7273  2 As 1.86
O  0.6380  0.0000  0.7273  2 As 1.86
O  0.6380  0.6380  0.2727  2 As 1.86

Output
Raw total energy = -52.283 eV/cell
Space group = P-31m, No. 162
Total magnetic moment = 2.06 μB/f.u.

No. 3
Material: NiAsO3
Method: DFT, PBE+U
State: relaxed

Unit cell a=3.6866 b=3.6866 c=3.6866 alpha=90.00 beta=90.00 gamma=90.00
Last column: nearest neighbours and their distance in Å.
Fractional positions:
Ni  0.0000  0.0000  0.0000  6 O 1.84
As  0.5000  0.5000  0.5000  12 O 2.61
O  0.0000  0.0000  0.5000  2 Ni 1.84
O  0.0000  0.5000  0.0000  2 Ni 1.84
O  0.5000  0.0000  0.0000  2 Ni 1.84

Output
Raw total energy = -23.134 eV/cell
Space group = Pm-3m, No. 221
Total magnetic moment = 1.00 μB/f.u.